# TiCrS3

Crystalline TiCrS3 at its relaxed geometry (PBE, Alexandria).

Magnetization in Bohr magnetons per cell: 7.0
Crystal system: trigonal
Raw formation energy in eV per atom: -1.018
Raw total energy in eV/atom: -6.998

abc: 6.564 6.564 6.564
angles: 54.47 54.47 54.47
Sites, in units of the cell vectors:
1 Ti 0.161 0.161 0.161
2 Ti 0.839 0.839 0.839
3 Cr 0.339 0.339 0.339
4 Cr 0.661 0.661 0.661
5 S 0.073 0.429 0.743
6 S 0.257 0.927 0.571
7 S 0.429 0.743 0.073
8 S 0.571 0.257 0.927
9 S 0.743 0.073 0.429
10 S 0.927 0.571 0.257